1.
Entry from the Alexandria database: AlCrFe2 after structural relaxation (GGA-PBEsol).

ΔE to the lowest computed polymorph, meV per atom: 100
Energy of formation, eV per atom: -0.081

Unit cell a=4.551 b=4.551 c=4.551 alpha=141.66 beta=128.00 gamma=66.42
Fractional positions:
Al1 0.000 0.000 0.000
Cr1 0.500 0.500 0.000
Fe1 0.258 0.758 0.500
Fe2 0.742 0.242 0.500

---

2.
Entry from the Alexandria database: AlCrFe2 after structural relaxation (GGA-PBEsol).

ΔE to the lowest computed polymorph, meV per atom: 0
Energy of formation, eV per atom: -0.181

Unit cell a=3.951 b=3.951 c=3.951 alpha=60.00 beta=60.00 gamma=60.00
Fractional positions:
Al1 0.000 0.000 0.000
Cr1 0.500 0.500 0.500
Fe1 0.250 0.250 0.250
Fe2 0.750 0.750 0.750

---

3.
Entry from the Alexandria database: AlCrFeO4 after structural relaxation (GGA-PBEsol).

Formation energy from raw total energies, eV per formula unit: -14.06

Unit cell a=5.813 b=5.813 c=5.813 alpha=120.80 beta=119.23 gamma=89.98
Fractional positions:
Al1 0.500 0.000 0.000
Al2 0.500 0.500 0.500
Cr1 0.000 0.000 0.000
Cr2 0.500 0.000 0.500
Fe1 0.121 0.371 0.750
Fe2 0.879 0.629 0.250
O1 0.268 0.250 0.481
O2 0.268 0.787 0.019
O3 0.275 0.242 0.033
O4 0.291 0.758 0.533
O5 0.709 0.242 0.467
O6 0.725 0.758 0.967
O7 0.732 0.213 0.981
O8 0.732 0.750 0.519

---

4.
Entry from the Alexandria database: AlCr3Ga after structural relaxation (GGA-PBEsol).

Energy of formation, eV per atom: 1.411

Unit cell a=4.408 b=4.408 c=4.408 alpha=90.00 beta=90.00 gamma=90.00
Fractional positions:
Al1 0.000 0.000 0.000
Cr1 0.000 0.000 0.500
Cr2 0.000 0.500 0.000
Cr3 0.500 0.000 0.000
Ga1 0.500 0.500 0.500

---

5.
Entry from the Alexandria database: Al3CrGa after structural relaxation (GGA-PBEsol).

Energy of formation, eV per atom: 0.966

Unit cell a=4.759 b=4.759 c=4.759 alpha=90.00 beta=90.00 gamma=90.00
Fractional positions:
Al1 0.000 0.000 0.500
Al2 0.000 0.500 0.000
Al3 0.500 0.000 0.000
Cr1 0.500 0.500 0.500
Ga1 0.000 0.000 0.000

---

6.
Entry from the Alexandria database: Al2Cr2Ge after structural relaxation (GGA-PBEsol).

Energy of formation, eV per atom: -0.035

Unit cell a=5.990 b=5.990 c=3.929 alpha=90.00 beta=90.00 gamma=90.00
Fractional positions:
Al1 0.162 0.338 0.000
Al2 0.338 0.838 0.000
Al3 0.662 0.162 0.000
Al4 0.838 0.662 0.000
Cr1 0.128 0.628 0.500
Cr2 0.372 0.128 0.500
Cr3 0.628 0.872 0.500
Cr4 0.872 0.372 0.500
Ge1 0.000 0.000 0.500
Ge2 0.500 0.500 0.500

---

7.
Entry from the Alexandria database: AlCrH2 after structural relaxation (GGA-PBEsol).

Total energy, eV per atom: -5.08

Unit cell a=5.064 b=5.064 c=5.064 alpha=134.15 beta=134.15 gamma=66.85
Fractional positions:
Al1 0.000 0.000 0.000
Al2 0.750 0.250 0.500
Cr1 0.250 0.750 0.500
Cr2 0.500 0.500 0.000
H1 0.166 0.625 0.041
H2 0.375 0.416 0.541
H3 0.584 0.125 0.959
H4 0.875 0.834 0.459

---

8.
Entry from the Alexandria database: Al2Cr2H after structural relaxation (GGA-PBEsol).

Total energy, eV per atom: -6.19

Unit cell a=5.220 b=5.220 c=4.245 alpha=90.00 beta=90.00 gamma=90.00
Fractional positions:
Al1 0.169 0.331 0.000
Al2 0.331 0.831 0.000
Al3 0.669 0.169 0.000
Al4 0.831 0.669 0.000
Cr1 0.147 0.647 0.500
Cr2 0.353 0.147 0.500
Cr3 0.647 0.853 0.500
Cr4 0.853 0.353 0.500
H1 0.000 0.000 0.500
H2 0.500 0.500 0.500

---

9.
Entry from the Alexandria database: Al3CrH after structural relaxation (GGA-PBEsol).

Total energy, eV per atom: -4.08

Unit cell a=4.728 b=4.728 c=4.728 alpha=90.00 beta=90.00 gamma=90.00
Fractional positions:
Al1 0.000 0.000 0.500
Al2 0.000 0.500 0.000
Al3 0.500 0.000 0.000
Cr1 0.000 0.000 0.000
H1 0.500 0.500 0.500

---

10.
Entry from the Alexandria database: HfAl2Cr after structural relaxation (GGA-PBEsol).

Energy of formation, eV per atom: 0.002

Unit cell a=4.472 b=4.472 c=4.472 alpha=60.00 beta=60.00 gamma=60.00
Fractional positions:
Hf1 0.000 0.000 0.000
Al1 0.250 0.250 0.250
Al2 0.750 0.750 0.750
Cr1 0.500 0.500 0.500

---

11.
Entry from the Alexandria database: HfAl2CrRu after structural relaxation (GGA-PBEsol).

Energy of formation, eV per atom: 0.472

Unit cell a=4.646 b=4.646 c=4.820 alpha=90.00 beta=90.00 gamma=90.00
Fractional positions:
Hf1 0.000 0.000 0.000
Al1 0.000 0.500 0.500
Al2 0.500 0.000 0.500
Cr1 0.500 0.500 0.000
Ru1 0.000 0.000 0.500

---

12.
Entry from the Alexandria database: HfAlCrSi2 after structural relaxation (GGA-PBEsol).

Formation energy from raw total energies, eV per formula unit: 4.96

Unit cell a=4.554 b=4.554 c=4.374 alpha=90.00 beta=90.00 gamma=90.00
Fractional positions:
Hf1 0.000 0.000 0.000
Al1 0.500 0.500 0.500
Cr1 0.500 0.500 0.000
Si1 0.000 0.500 0.500
Si2 0.500 0.000 0.500

---

13.
Entry from the Alexandria database: AlCr2Hg after structural relaxation (GGA-PBEsol).

Energy of formation, eV per atom: 0.374

Unit cell a=3.093 b=3.093 c=6.518 alpha=90.00 beta=90.00 gamma=90.00
Fractional positions:
Al1 0.000 0.000 0.000
Cr1 0.500 0.500 0.228
Cr2 0.500 0.500 0.772
Hg1 0.000 0.000 0.500

---

14.
Entry from the Alexandria database: AlCrHg2 after structural relaxation (GGA-PBEsol).

Energy of formation, eV per atom: 0.380

Unit cell a=4.693 b=4.693 c=4.693 alpha=60.00 beta=60.00 gamma=60.00
Fractional positions:
Al1 0.000 0.000 0.000
Cr1 0.750 0.750 0.750
Hg1 0.250 0.250 0.250
Hg2 0.500 0.500 0.500

---

15.
Entry from the Alexandria database: AlCrHg2 after structural relaxation (GGA-PBEsol).

Energy of formation, eV per atom: 0.305

Unit cell a=2.952 b=4.136 c=6.088 alpha=90.00 beta=103.25 gamma=90.00
Fractional positions:
Al1 0.000 0.000 0.000
Cr1 0.577 0.500 0.163
Hg1 0.219 0.000 0.443
Hg2 0.851 0.500 0.712

---

16.
Entry from the Alexandria database: AlCrHg2 after structural relaxation (GGA-PBEsol).

Energy of formation, eV per atom: 0.317

Unit cell a=9.364 b=9.364 c=9.364 alpha=18.52 beta=18.52 gamma=18.52
Fractional positions:
Al1 0.000 0.000 0.000
Cr1 0.736 0.736 0.736
Hg1 0.246 0.246 0.246
Hg2 0.483 0.483 0.483

---

17.
Entry from the Alexandria database: AlCrI2 after structural relaxation (GGA-PBEsol).

Formation energy from raw total energies, eV per formula unit: 1.66

Unit cell a=5.285 b=5.285 c=5.285 alpha=60.00 beta=60.00 gamma=60.00
Fractional positions:
Al1 0.000 0.000 0.000
Cr1 0.500 0.500 0.500
I1 0.250 0.250 0.250
I2 0.750 0.750 0.750

---

18.
Entry from the Alexandria database: NaAl2CrI after structural relaxation (GGA-PBEsol).

Formation energy from raw total energies, eV per formula unit: 2.81

Unit cell a=4.890 b=4.890 c=6.068 alpha=90.00 beta=90.00 gamma=90.00
Fractional positions:
Na1 0.000 0.000 0.000
Al1 0.000 0.500 0.500
Al2 0.500 0.000 0.500
Cr1 0.000 0.000 0.500
I1 0.500 0.500 0.000

---

19.
Entry from the Alexandria database: Al3CrIn after structural relaxation (GGA-PBEsol).

Energy of formation, eV per atom: 1.298

Unit cell a=5.111 b=5.111 c=5.111 alpha=90.00 beta=90.00 gamma=90.00
Fractional positions:
Al1 0.000 0.000 0.500
Al2 0.000 0.500 0.000
Al3 0.500 0.000 0.000
Cr1 0.500 0.500 0.500
In1 0.000 0.000 0.000

---

20.
Entry from the Alexandria database: AlCr4In after structural relaxation (GGA-PBEsol).

Energy of formation, eV per atom: 0.276

Unit cell a=4.837 b=4.837 c=4.837 alpha=60.00 beta=60.00 gamma=60.00
Fractional positions:
Al1 0.000 0.000 0.000
Cr1 0.375 0.375 0.375
Cr2 0.375 0.375 0.875
Cr3 0.375 0.875 0.375
Cr4 0.875 0.375 0.375
In1 0.750 0.750 0.750

---

21.
Entry from the Alexandria database: AlCrInPd2 after structural relaxation (GGA-PBEsol).

Energy of formation, eV per atom: 0.728

Unit cell a=4.546 b=4.546 c=4.610 alpha=90.00 beta=90.00 gamma=90.00
Fractional positions:
Al1 0.000 0.000 0.000
Cr1 0.000 0.000 0.500
In1 0.500 0.500 0.000
Pd1 0.000 0.500 0.500
Pd2 0.500 0.000 0.500

---

22.
Entry from the Alexandria database: Ti2AlCrIn after structural relaxation (GGA-PBEsol).

Energy of formation, eV per atom: 1.115

Unit cell a=4.704 b=4.704 c=4.827 alpha=90.00 beta=90.00 gamma=90.00
Fractional positions:
Ti1 0.000 0.500 0.000
Ti2 0.500 0.000 0.000
Al1 0.000 0.000 0.000
Cr1 0.500 0.500 0.500
In1 0.000 0.000 0.500

---

23.
Entry from the Alexandria database: AlCr2Ir after structural relaxation (GGA-PBEsol).

Energy of formation, eV per atom: 0.043

Unit cell a=8.634 b=8.634 c=8.634 alpha=17.63 beta=17.63 gamma=17.63
Fractional positions:
Al1 0.000 0.000 0.000
Cr1 0.249 0.249 0.249
Cr2 0.751 0.751 0.751
Ir1 0.500 0.500 0.500

---

24.
Entry from the Alexandria database: AlCr2Ir after structural relaxation (GGA-PBEsol).

Energy of formation, eV per atom: -0.237

Unit cell a=4.165 b=4.165 c=4.165 alpha=60.00 beta=60.00 gamma=60.00
Fractional positions:
Al1 0.000 0.000 0.000
Cr1 0.500 0.500 0.500
Cr2 0.750 0.750 0.750
Ir1 0.250 0.250 0.250

---

25.
Entry from the Alexandria database: Al2CrIr after structural relaxation (GGA-PBEsol).

Energy of formation, eV per atom: -0.192

Unit cell a=4.983 b=4.983 c=4.983 alpha=146.62 beta=124.98 gamma=65.90
Fractional positions:
Al1 0.249 0.249 0.000
Al2 0.751 0.751 0.000
Cr1 0.500 0.000 0.500
Ir1 0.000 0.500 0.500

---

26.
Entry from the Alexandria database: Al2CrIr after structural relaxation (GGA-PBEsol).

Energy of formation, eV per atom: -0.221

Unit cell a=2.743 b=4.093 c=4.916 alpha=90.00 beta=95.70 gamma=90.00
Fractional positions:
Al1 0.220 0.000 0.248
Al2 0.780 0.000 0.752
Cr1 0.500 0.500 0.000
Ir1 0.000 0.500 0.500

---

27.
Entry from the Alexandria database: AlCrTc2Ir after structural relaxation (GGA-PBEsol).

Energy of formation, eV per atom: 1.185

Unit cell a=4.243 b=4.243 c=4.376 alpha=90.00 beta=90.00 gamma=90.00
Fractional positions:
Al1 0.000 0.000 0.000
Cr1 0.000 0.000 0.500
Tc1 0.000 0.500 0.500
Tc2 0.500 0.000 0.500
Ir1 0.500 0.500 0.000

---

28.
Entry from the Alexandria database: KAlCr2 after structural relaxation (GGA-PBEsol).

Energy of formation, eV per atom: 0.711

Unit cell a=2.755 b=4.137 c=6.946 alpha=90.00 beta=90.09 gamma=90.00
Fractional positions:
K1 0.000 0.000 0.000
Al1 0.500 0.000 0.500
Cr1 0.000 0.500 0.365
Cr2 0.000 0.500 0.635